No. 1
Here is crystalline La6Zn2Ga at its relaxed geometry from Alexandria via LeMat-Bulk. Energies are from PBE-GGA.

It has space group Immm (No. 71), with a = 10.294 Å, b = 10.334 Å, c = 10.336 Å, α = 90.00°, β = 90.00° and γ = 90.00°. The inequivalent atoms are La at (0.000, 0.250, 0.197), La at (0.225, 0.176, 0.500), La at (0.236, 0.500, 0.321), Zn at (0.000, 0.000, 0.368), Zn at (0.000, 0.375, 0.500), Ga at (0.000, 0.000, 0.000) and Ga at (0.000, 0.500, 0.000).

As for the total magnetization: 0.000 μB per formula unit. The calculation puts the formation energy at -0.2231 eV/atom.

***

No. 2
Here is crystalline LaZnGa at its relaxed geometry from Alexandria via LeMat-Bulk. Energies are from PBE-GGA.

It has space group Cmcm (No. 63), with a = 5.076 Å, b = 8.684 Å, c = 6.359 Å, α = 90.00°, β = 90.00° and γ = 90.00°. The inequivalent atoms are La at (0.000, 0.165, 0.250), Zn at (0.000, 0.171, 0.750) and Ga at (0.000, 0.500, 0.000).

As for the total magnetization: 0.000 μB per formula unit. The calculation puts the formation energy at -0.4099 eV/atom.

***

No. 3
Here is crystalline LaZnGa at its relaxed geometry from Alexandria via LeMat-Bulk. Energies are from PBE-GGA.

It has space group P1 (No. 1), with a = 4.653 Å, b = 4.655 Å, c = 8.609 Å, α = 105.62°, β = 90.04° and γ = 119.98°. The inequivalent atoms are La at (0.000, 0.000, 0.000), La at (0.498, 0.995, 0.492), Zn at (0.255, 0.511, 0.765), Zn at (0.380, 0.759, 0.140), Ga at (0.617, 0.234, 0.850) and Ga at (0.746, 0.492, 0.239).

As for the total magnetization: 0.000 μB per formula unit. The calculation puts the formation energy at -0.3417 eV/atom.

***

No. 4
Here is crystalline La3Zn8Ga at its relaxed geometry from Alexandria via LeMat-Bulk. Energies are from PBE-GGA.

It has space group R3m (No. 160, hexagonal axes), with a = 5.6282 Å, b = 5.6282 Å, c = 27.0188 Å, α = 90.00°, β = 90.00° and γ = 120.00°. The inequivalent atoms are La at (0.0000, 0.0000, 0.0000), La at (0.0000, 0.0000, 0.1265), La at (0.0000, 0.0000, 0.6139), Zn at (0.0000, 0.0000, 0.3121), Zn at (0.0000, 0.0000, 0.8093), Zn at (0.1672, 0.3343, 0.8933), Zn at (0.1674, 0.3348, 0.3942) and Ga at (0.0000, 0.0000, 0.4905).

As for the total magnetization: 0.000 μB per formula unit. The calculation puts the formation energy at -0.2536 eV/atom.

***

No. 5
Here is crystalline La7Zn2Ga2 at its relaxed geometry from Alexandria via LeMat-Bulk. Energies are from PBE-GGA.

It has space group Cmmm (No. 65), with a = 8.100 Å, b = 11.247 Å, c = 7.474 Å, α = 90.00°, β = 90.00° and γ = 90.00°. The inequivalent atoms are La at (0.000, 0.000, 0.000), La at (0.000, 0.500, 0.277), La at (0.250, 0.250, 0.296), Zn at (0.000, 0.290, 0.000) and Ga at (0.156, 0.000, 0.500).

As for the total magnetization: 0.000 μB per formula unit. The calculation puts the formation energy at -0.1344 eV/atom.

***

No. 6
Here is crystalline LaZnGa at its relaxed geometry from Alexandria via LeMat-Bulk. Energies are from PBE-GGA.

It has space group I4mm (No. 107), with a = 4.129 Å, b = 4.129 Å, c = 8.815 Å, α = 90.00°, β = 90.00° and γ = 90.00°. The inequivalent atoms are La at (0.000, 0.000, 0.000), Zn at (0.000, 0.000, 0.342) and Ga at (0.000, 0.000, 0.654).

As for the total magnetization: 0.000 μB per formula unit. The calculation puts the formation energy at -0.1739 eV/atom.